A plane-wave DFT calculation with PBE was carried out for crystalline LuBePt at its relaxed geometry.

It has space group P-6m2 (No. 187), with a = 3.9848 Å, b = 3.9848 Å, c = 3.7948 Å, α = 90.00°, β = 90.00° and γ = 120.00°. The asymmetric unit holds Lu at (0.0000, 0.0000, 0.0000), Be at (0.3333, 0.6667, 0.5000) and Pt at (0.6667, 0.3333, 0.5000).

For the formation energy, the calculation gives -0.884 eV per atom.